A geometry-optimized AcPuIr structure. Source: Alexandria via LeMat-Bulk, functional PBE-GGA.

Geometry as CIF:
```
data_AcPuIr
_chemical_formula_sum 'Ac6 Pu6 Ir6'
_symmetry_space_group_name_H-M 'R -3 m'
_symmetry_Int_Tables_number 166
_symmetry_space_group_name_Hall '-R 3 2"'
_cell_length_a 3.8230
_cell_length_b 3.8230
_cell_length_c 37.1690
_cell_angle_alpha 90.00
_cell_angle_beta 90.00
_cell_angle_gamma 120.00
loop_
_atom_site_label
_atom_site_fract_x
_atom_site_fract_y
_atom_site_fract_z
Ac1 0.0000 0.0000 0.1154
Pu1 0.0000 0.0000 0.3167
Ir1 0.0000 0.0000 0.3968
```

Computed properties:
Excess energy over the best structure of this formula in the dataset = 1.02 eV per formula unit
D(E_F) = 5.470 states/eV/f.u.
ΔH_f (0 K) = -0.07 eV/atom